The following is a DFT calculation (PBE) of an optimized crystal structure of Tl8SnPb5.

The volume is 33.0 A^3/atom. The energy relative to the elements is 0.0690 eV/atom. The calculation puts the total energy at -40.51 eV per cell.

Structure (POSCAR):
```
Tl8SnPb5
1.0
-5.293 5.293 4.128
5.293 -5.293 4.128
5.293 5.293 -4.128
Tl Sn Pb
8 1 5
direct
0.005 0.138 0.813 Tl
0.238 0.644 0.872 Tl
0.325 0.191 0.187 Tl
0.356 0.228 0.595 Tl
0.633 0.762 0.405 Tl
0.772 0.367 0.128 Tl
0.809 0.995 0.133 Tl
0.862 0.675 0.867 Tl
0.500 0.500 0.000 Sn
0.023 0.753 0.549 Pb
0.203 0.473 0.451 Pb
0.247 0.797 0.270 Pb
0.527 0.977 0.730 Pb
0.750 0.250 0.500 Pb
```

The following is a DFT calculation (PBE) of an optimized crystal structure of Tl4Sn2Pb5.

The volume is 31.4 A^3/atom. The energy relative to the elements is 0.0532 eV/atom. The calculation puts the total energy at -35.43 eV per cell.

Structure (POSCAR):
```
Tl4Sn2Pb5
1.0
10.954 -1.720 0.000
10.954 1.720 0.000
-0.450 0.000 9.154
Tl Sn Pb
4 2 5
direct
0.050 0.050 0.141 Tl
0.317 0.317 0.937 Tl
0.683 0.683 0.063 Tl
0.950 0.950 0.859 Tl
0.283 0.283 0.305 Sn
0.717 0.717 0.695 Sn
0.094 0.094 0.775 Pb
0.145 0.145 0.431 Pb
0.500 0.500 0.500 Pb
0.855 0.855 0.569 Pb
0.906 0.906 0.225 Pb
```

The following is a DFT calculation (PBE) of an optimized crystal structure of TlSn3Pb7.

The volume is 31.9 A^3/atom. The energy relative to the elements is 0.0625 eV/atom. The calculation puts the total energy at -39.65 eV per cell.

Structure (POSCAR):
```
TlSn3Pb7
1.0
7.142 0.000 0.000
-3.571 6.185 0.000
0.000 0.000 7.947
Tl Sn Pb
1 3 7
direct
0.000 0.000 0.000 Tl
0.154 0.308 0.353 Sn
0.154 0.846 0.353 Sn
0.692 0.846 0.353 Sn
0.333 0.667 0.686 Pb
0.353 0.176 0.671 Pb
0.503 0.007 0.046 Pb
0.503 0.497 0.046 Pb
0.824 0.176 0.671 Pb
0.824 0.647 0.671 Pb
0.993 0.497 0.046 Pb
```

The following is a DFT calculation (PBE) of an optimized crystal structure of Tl4SnPb3.

The volume is 30.7 A^3/atom. The energy relative to the elements is 0.0078 eV/atom. The calculation puts the total energy at -49.06 eV per cell.

Structure (POSCAR):
```
Tl4SnPb3
1.0
23.055 0.000 0.000
0.000 3.575 0.000
-0.283 0.000 5.966
Tl Sn Pb
8 2 6
direct
0.125 0.000 0.370 Tl
0.247 0.000 0.750 Tl
0.253 0.500 0.250 Tl
0.375 0.500 0.630 Tl
0.625 0.500 0.370 Tl
0.747 0.500 0.750 Tl
0.753 0.000 0.250 Tl
0.875 0.000 0.630 Tl
0.000 0.000 0.000 Sn
0.500 0.500 0.000 Sn
0.000 0.500 0.500 Pb
0.120 0.500 0.876 Pb
0.380 0.000 0.124 Pb
0.500 0.000 0.500 Pb
0.620 0.000 0.876 Pb
0.880 0.500 0.124 Pb
```

The following is a DFT calculation (PBE) of an optimized crystal structure of Tl3Sn4Pb.

The volume is 29.5 A^3/atom. The energy relative to the elements is 0.0393 eV/atom. The calculation puts the total energy at -26.50 eV per cell.

Structure (POSCAR):
```
Tl3Sn4Pb
1.0
3.499 0.000 0.000
0.397 6.016 0.000
1.150 0.812 11.212
Tl Sn Pb
3 4 1
direct
0.000 0.000 0.000 Tl
0.390 0.122 0.256 Tl
0.610 0.878 0.744 Tl
0.134 0.381 0.742 Sn
0.216 0.741 0.496 Sn
0.784 0.259 0.504 Sn
0.866 0.619 0.258 Sn
0.500 0.500 0.000 Pb
```

The following is a DFT calculation (PBE) of an optimized crystal structure of TlSn2Pb3.

The volume is 31.9 A^3/atom. The energy relative to the elements is 0.0596 eV/atom. The calculation puts the total energy at -42.28 eV per cell.

Structure (POSCAR):
```
TlSn2Pb3
1.0
5.043 -5.974 0.000
5.043 5.974 0.000
-0.083 0.000 6.347
Tl Sn Pb
2 4 6
direct
0.085 0.085 0.252 Tl
0.915 0.915 0.748 Tl
0.250 0.750 0.000 Sn
0.254 0.746 0.500 Sn
0.746 0.254 0.500 Sn
0.750 0.250 0.000 Sn
0.117 0.389 0.750 Pb
0.389 0.117 0.750 Pb
0.420 0.420 0.246 Pb
0.580 0.580 0.754 Pb
0.611 0.883 0.250 Pb
0.883 0.611 0.250 Pb
```

The following is a DFT calculation (PBE) of an optimized crystal structure of Tl4SnPb15.

The volume is 31.8 A^3/atom. The energy relative to the elements is 0.0476 eV/atom. The calculation puts the total energy at -68.14 eV per cell.

Structure (POSCAR):
```
Tl4SnPb15
1.0
6.081 0.000 0.000
0.000 6.081 0.000
0.000 0.000 17.171
Tl Sn Pb
4 1 15
direct
0.000 0.000 0.101 Tl
0.000 0.000 0.301 Tl
0.000 0.000 0.699 Tl
0.000 0.000 0.899 Tl
0.000 0.000 0.500 Sn
0.000 0.500 0.000 Pb
0.000 0.500 0.200 Pb
0.000 0.500 0.403 Pb
0.000 0.500 0.597 Pb
0.000 0.500 0.800 Pb
0.500 0.000 0.000 Pb
0.500 0.000 0.200 Pb
0.500 0.000 0.403 Pb
0.500 0.000 0.597 Pb
0.500 0.000 0.800 Pb
0.500 0.500 0.099 Pb
0.500 0.500 0.301 Pb
0.500 0.500 0.500 Pb
0.500 0.500 0.699 Pb
0.500 0.500 0.901 Pb
```

The following is a DFT calculation (PBE) of an optimized crystal structure of Tl2Sn2Pb.

The volume is 31.8 A^3/atom. The energy relative to the elements is 0.1363 eV/atom. The calculation puts the total energy at -31.53 eV per cell.

Structure (POSCAR):
```
Tl2Sn2Pb
1.0
4.277 0.000 0.000
0.000 4.277 0.000
0.000 0.000 17.363
Tl Sn Pb
4 4 2
direct
0.000 0.000 0.099 Tl
0.000 0.000 0.901 Tl
0.500 0.500 0.401 Tl
0.500 0.500 0.599 Tl
0.000 0.500 0.250 Sn
0.000 0.500 0.750 Sn
0.500 0.000 0.250 Sn
0.500 0.000 0.750 Sn
0.000 0.000 0.500 Pb
0.500 0.500 0.000 Pb
```

The following is a DFT calculation (PBE) of an optimized crystal structure of Tl3Sn3Pb.

The volume is 39.9 A^3/atom. The energy relative to the elements is 0.5219 eV/atom. The calculation puts the total energy at -38.32 eV per cell.

Structure (POSCAR):
```
Tl3Sn3Pb
1.0
8.234 0.000 0.000
0.000 8.234 0.000
0.000 0.000 8.234
Tl Sn Pb
6 6 2
direct
0.000 0.250 0.500 Tl
0.000 0.750 0.500 Tl
0.250 0.500 0.000 Tl
0.500 0.000 0.250 Tl
0.500 0.000 0.750 Tl
0.750 0.500 0.000 Tl
0.000 0.500 0.250 Sn
0.000 0.500 0.750 Sn
0.250 0.000 0.500 Sn
0.500 0.250 0.000 Sn
0.500 0.750 0.000 Sn
0.750 0.000 0.500 Sn
0.000 0.000 0.000 Pb
0.500 0.500 0.500 Pb
```

The following is a DFT calculation (PBE) of an optimized crystal structure of TlSnPb.

The volume is 34.7 A^3/atom. The energy relative to the elements is 0.0743 eV/atom. The calculation puts the total energy at -39.42 eV per cell.

Structure (POSCAR):
```
TlSnPb
1.0
7.469 0.000 0.000
0.000 7.469 0.000
0.000 0.000 7.469
Tl Sn Pb
4 4 4
direct
0.000 0.000 0.000 Tl
0.000 0.500 0.500 Tl
0.500 0.000 0.500 Tl
0.500 0.500 0.000 Tl
0.250 0.250 0.750 Sn
0.250 0.750 0.250 Sn
0.750 0.250 0.250 Sn
0.750 0.750 0.750 Sn
0.000 0.000 0.500 Pb
0.000 0.500 0.000 Pb
0.500 0.000 0.000 Pb
0.500 0.500 0.500 Pb
```

The following is a DFT calculation (PBE) of an optimized crystal structure of TlSn3Pb.

The volume is 32.1 A^3/atom. The energy relative to the elements is 0.1234 eV/atom. The calculation puts the total energy at -34.93 eV per cell.

Structure (POSCAR):
```
TlSn3Pb
1.0
3.173 -8.358 0.000
3.173 8.358 0.000
0.000 0.000 6.055
Tl Sn Pb
2 6 2
direct
0.184 0.816 0.750 Tl
0.816 0.184 0.250 Tl
0.000 0.000 0.000 Sn
0.000 0.000 0.500 Sn
0.122 0.396 0.750 Sn
0.396 0.122 0.250 Sn
0.604 0.878 0.750 Sn
0.878 0.604 0.250 Sn
0.442 0.558 0.250 Pb
0.558 0.442 0.750 Pb
```

The following is a DFT calculation (PBE) of an optimized crystal structure of Tl4Sn2Pb.

The volume is 30.3 A^3/atom. The energy relative to the elements is 0.0330 eV/atom. The calculation puts the total energy at -41.90 eV per cell.

Structure (POSCAR):
```
Tl4Sn2Pb
1.0
5.538 0.000 0.000
0.000 22.319 0.000
0.000 0.000 3.435
Tl Sn Pb
8 4 2
direct
0.000 0.147 0.000 Tl
0.000 0.294 0.500 Tl
0.000 0.706 0.500 Tl
0.000 0.853 0.000 Tl
0.500 0.206 0.500 Tl
0.500 0.353 0.000 Tl
0.500 0.647 0.000 Tl
0.500 0.794 0.500 Tl
0.000 0.433 0.000 Sn
0.000 0.567 0.000 Sn
0.500 0.067 0.000 Sn
0.500 0.933 0.000 Sn
0.000 0.000 0.500 Pb
0.500 0.500 0.500 Pb
```

The following is a DFT calculation (PBE) of an optimized crystal structure of Tl2SnPb8.

The volume is 31.1 A^3/atom. The energy relative to the elements is 0.0070 eV/atom. The calculation puts the total energy at -38.33 eV per cell.

Structure (POSCAR):
```
Tl2SnPb8
1.0
9.206 -2.406 0.000
9.206 2.406 0.000
-2.319 0.000 7.729
Tl Sn Pb
2 1 8
direct
0.228 0.228 0.136 Tl
0.772 0.772 0.864 Tl
0.500 0.500 0.500 Sn
0.043 0.043 0.233 Pb
0.134 0.134 0.677 Pb
0.318 0.318 0.591 Pb
0.411 0.411 0.043 Pb
0.589 0.589 0.957 Pb
0.682 0.682 0.409 Pb
0.866 0.866 0.323 Pb
0.957 0.957 0.767 Pb
```

The following is a DFT calculation (PBE) of an optimized crystal structure of Tl3SnPb4.

The volume is 31.4 A^3/atom. The energy relative to the elements is 0.0605 eV/atom. The calculation puts the total energy at -50.90 eV per cell.

Structure (POSCAR):
```
Tl3SnPb4
1.0
6.651 0.000 0.000
0.000 11.351 0.000
0.000 0.000 6.645
Tl Sn Pb
6 2 8
direct
0.000 0.000 0.000 Tl
0.000 0.245 0.734 Tl
0.000 0.755 0.734 Tl
0.500 0.255 0.234 Tl
0.500 0.500 0.500 Tl
0.500 0.745 0.234 Tl
0.000 0.500 0.521 Sn
0.500 0.000 0.021 Sn
0.000 0.275 0.233 Pb
0.000 0.725 0.233 Pb
0.247 0.500 0.974 Pb
0.253 0.000 0.474 Pb
0.500 0.225 0.733 Pb
0.500 0.775 0.733 Pb
0.747 0.000 0.474 Pb
0.753 0.500 0.974 Pb
```

The following is a DFT calculation (PBE) of an optimized crystal structure of Tl8Sn3Pb2.

The volume is 31.3 A^3/atom. The energy relative to the elements is 0.0498 eV/atom. The calculation puts the total energy at -37.71 eV per cell.

Structure (POSCAR):
```
Tl8Sn3Pb2
1.0
7.349 0.000 0.000
0.000 5.076 0.000
-1.112 0.000 10.891
Tl Sn Pb
8 3 2
direct
0.070 0.000 0.355 Tl
0.097 0.500 0.860 Tl
0.357 0.500 0.272 Tl
0.368 0.000 0.786 Tl
0.632 0.000 0.214 Tl
0.643 0.500 0.728 Tl
0.903 0.500 0.140 Tl
0.930 0.000 0.645 Tl
0.217 0.500 0.561 Sn
0.500 0.000 0.500 Sn
0.783 0.500 0.439 Sn
0.207 0.000 0.066 Pb
0.793 0.000 0.934 Pb
```

The following is a DFT calculation (PBE) of an optimized crystal structure of Tl6Sn7Pb16.

The volume is 33.9 A^3/atom. The energy relative to the elements is 0.0749 eV/atom. The calculation puts the total energy at -99.38 eV per cell.

Structure (POSCAR):
```
Tl6Sn7Pb16
1.0
0.000 7.890 7.890
7.890 0.000 7.890
7.890 7.890 0.000
Tl Sn Pb
6 7 16
direct
0.223 0.223 0.777 Tl
0.223 0.777 0.223 Tl
0.223 0.777 0.777 Tl
0.777 0.223 0.223 Tl
0.777 0.223 0.777 Tl
0.777 0.777 0.223 Tl
0.000 0.000 0.500 Sn
0.000 0.500 0.000 Sn
0.000 0.500 0.500 Sn
0.500 0.000 0.000 Sn
0.500 0.000 0.500 Sn
0.500 0.500 0.000 Sn
0.500 0.500 0.500 Sn
0.138 0.621 0.621 Pb
0.168 0.168 0.168 Pb
0.168 0.168 0.496 Pb
0.168 0.496 0.168 Pb
0.379 0.379 0.379 Pb
0.379 0.379 0.862 Pb
0.379 0.862 0.379 Pb
0.496 0.168 0.168 Pb
0.504 0.832 0.832 Pb
0.621 0.138 0.621 Pb
0.621 0.621 0.138 Pb
0.621 0.621 0.621 Pb
0.832 0.504 0.832 Pb
0.832 0.832 0.504 Pb
0.832 0.832 0.832 Pb
0.862 0.379 0.379 Pb
```

The following is a DFT calculation (PBE) of an optimized crystal structure of TlSn4Pb7.

The volume is 32.4 A^3/atom. The energy relative to the elements is 0.1049 eV/atom. The calculation puts the total energy at -43.08 eV per cell.

Structure (POSCAR):
```
TlSn4Pb7
1.0
6.353 -2.998 0.000
6.353 2.998 0.000
-6.264 0.000 10.215
Tl Sn Pb
1 4 7
direct
0.000 0.000 0.000 Tl
0.286 0.286 0.686 Sn
0.437 0.437 0.239 Sn
0.563 0.563 0.761 Sn
0.714 0.714 0.314 Sn
0.042 0.042 0.388 Pb
0.205 0.205 0.911 Pb
0.329 0.329 0.429 Pb
0.500 0.500 0.000 Pb
0.671 0.671 0.571 Pb
0.795 0.795 0.089 Pb
0.958 0.958 0.612 Pb
```

The following is a DFT calculation (PBE) of an optimized crystal structure of TlSn4Pb5.

The volume is 30.0 A^3/atom. The energy relative to the elements is 0.0562 eV/atom. The calculation puts the total energy at -36.36 eV per cell.

Structure (POSCAR):
```
TlSn4Pb5
1.0
3.874 0.000 0.000
0.000 3.874 0.000
0.000 0.000 19.970
Tl Sn Pb
1 4 5
direct
0.000 0.000 0.000 Tl
0.000 0.000 0.203 Sn
0.000 0.000 0.405 Sn
0.000 0.000 0.595 Sn
0.000 0.000 0.797 Sn
0.500 0.500 0.109 Pb
0.500 0.500 0.301 Pb
0.500 0.500 0.500 Pb
0.500 0.500 0.699 Pb
0.500 0.500 0.891 Pb
```

The following is a DFT calculation (PBE) of an optimized crystal structure of Tl15SnPb4.

The volume is 30.7 A^3/atom. The energy relative to the elements is 0.0118 eV/atom. The calculation puts the total energy at -54.09 eV per cell.

Structure (POSCAR):
```
Tl15SnPb4
1.0
4.798 0.000 0.000
0.000 4.798 0.000
0.000 0.000 26.662
Tl Sn Pb
15 1 4
direct
0.000 0.000 0.000 Tl
0.000 0.000 0.198 Tl
0.000 0.000 0.399 Tl
0.000 0.000 0.601 Tl
0.000 0.000 0.802 Tl
0.000 0.500 0.098 Tl
0.000 0.500 0.299 Tl
0.000 0.500 0.500 Tl
0.000 0.500 0.701 Tl
0.000 0.500 0.902 Tl
0.500 0.000 0.098 Tl
0.500 0.000 0.299 Tl
0.500 0.000 0.500 Tl
0.500 0.000 0.701 Tl
0.500 0.000 0.902 Tl
0.500 0.500 0.000 Sn
0.500 0.500 0.199 Pb
0.500 0.500 0.399 Pb
0.500 0.500 0.601 Pb
0.500 0.500 0.801 Pb
```

The following is a DFT calculation (PBE) of an optimized crystal structure of TlSn2Pb4.

The volume is 33.2 A^3/atom. The energy relative to the elements is 0.0679 eV/atom. The calculation puts the total energy at -49.46 eV per cell.

Structure (POSCAR):
```
TlSn2Pb4
1.0
4.827 0.000 0.000
0.000 19.456 0.000
0.000 0.000 4.952
Tl Sn Pb
2 4 8
direct
0.000 0.000 0.000 Tl
0.500 0.500 0.000 Tl
0.000 0.425 0.500 Sn
0.000 0.575 0.500 Sn
0.500 0.075 0.500 Sn
0.500 0.925 0.500 Sn
0.000 0.179 0.500 Pb
0.000 0.321 0.000 Pb
0.000 0.679 0.000 Pb
0.000 0.821 0.500 Pb
0.500 0.179 0.000 Pb
0.500 0.321 0.500 Pb
0.500 0.679 0.500 Pb
0.500 0.821 0.000 Pb
```